Here is a relaxed structure of Tl4Cd3In16 from Alexandria. Energies are from GGA-PBE.

Cell lengths 7.3777, 7.3777, 12.1151 Å; angles 90.00, 90.00, 90.00 degrees
Positions (direct):
In 0.7412 0.2588 0.6350
In 0.2588 0.7412 0.6350
In 0.7131 0.7131 0.0000
In 0.0000 0.0000 0.7626
In 0.2588 0.2588 0.6350
In 0.2869 0.7131 0.0000
Tl 0.5000 0.0000 0.1785
In 0.2588 0.7412 0.3650
Cd 0.0000 0.5000 0.5000
In 0.7131 0.2869 0.0000
In 0.7412 0.7412 0.3650
In 0.7412 0.2588 0.3650
Tl 0.0000 0.5000 0.8215
Tl 0.0000 0.5000 0.1785
In 0.0000 0.0000 0.2374
Tl 0.5000 0.0000 0.8215
Cd 0.5000 0.0000 0.5000
In 0.5000 0.5000 0.7964
In 0.7412 0.7412 0.6350
In 0.5000 0.5000 0.2036
In 0.2588 0.2588 0.3650
In 0.2869 0.2869 0.0000
Cd 0.0000 0.0000 0.0000

Summary:
For the density of states at the Fermi level, the calculation gives 10.38 states/eV/f.u. As for the volume: 659.4 Å³ per cell. The calculated total energy comes out at -2.39 eV/atom. Its energy of formation from the pure elements is 0.049 eV per atom.

Here is a relaxed structure of TlCd4In4 from Alexandria. Energies are from GGA-PBE.

Cell lengths 6.5339, 6.5339, 11.8326 Å; angles 90.00, 90.00, 90.00 degrees
Positions (direct):
Cd 0.2354 0.5000 0.2226
Tl 0.5000 0.5000 0.5000
In 0.7224 0.0000 0.5721
Cd 0.0000 0.2646 0.7226
Cd 0.5000 0.7646 0.7774
In 0.0000 0.2776 0.4279
In 0.5000 0.7776 0.0721
Tl 0.0000 0.0000 0.0000
In 0.2224 0.5000 0.9279
In 0.0000 0.7224 0.4279
Cd 0.5000 0.2354 0.7774
In 0.2776 0.0000 0.5721
Cd 0.7646 0.5000 0.2226
Cd 0.0000 0.7354 0.7226
Cd 0.7354 0.0000 0.2774
In 0.7776 0.5000 0.9279
Cd 0.2646 0.0000 0.2774
In 0.5000 0.2224 0.0721

Summary:
For the density of states at the Fermi level, the calculation gives 5.43 states/eV/f.u. As for the volume: 505.1 Å³ per cell. For the energy relative to the lowest polymorph listed for this composition, the calculation gives 69 meV per atom. The calculated total energy comes out at -1.78 eV/atom. Its energy of formation from the pure elements is 0.105 eV per atom.

Here is a relaxed structure of TlCd2In from Alexandria. Energies are from GGA-PBE.

Cell lengths 4.4652, 4.4652, 11.4993 Å; angles 78.80, 78.80, 90.00 degrees
Positions (direct):
In 0.5000 0.5000 0.0000
Tl 0.7500 0.2500 0.5000
Cd 0.8750 0.8694 0.7500
In 0.2500 0.7500 0.5000
Cd 0.1306 0.6250 0.2500
Cd 0.3750 0.3806 0.7500
Cd 0.6194 0.1250 0.2500
Tl 0.0000 0.0000 0.0000

Summary:
For the density of states at the Fermi level, the calculation gives 1.73 states/eV/f.u. As for the volume: 220.5 Å³ per cell. For the energy relative to the lowest polymorph listed for this composition, the calculation gives 78 meV per atom. The calculated total energy comes out at -1.63 eV/atom. Its energy of formation from the pure elements is 0.101 eV per atom.

Here is a relaxed structure of TlCdIn2 from Alexandria. Energies are from GGA-PBE.

Cell lengths 3.3289, 3.3289, 10.4518 Å; angles 90.00, 90.00, 108.62 degrees
Positions (direct):
Tl 0.0000 0.0000 0.5073
In 0.0000 0.0000 0.9930
In 0.5000 0.5000 0.2429
Cd 0.5000 0.5000 0.7568

Summary:
For the density of states at the Fermi level, the calculation gives 1.77 states/eV/f.u. As for the volume: 109.8 Å³ per cell. The calculated total energy comes out at -2.14 eV/atom. Its energy of formation from the pure elements is 0.051 eV per atom.

Here is a relaxed structure of Tl4CdIn12 from Alexandria. Energies are from GGA-PBE.

Cell lengths 8.9428, 8.9428, 8.9428 Å; angles 109.47, 109.47, 109.47 degrees
Positions (direct):
Tl 0.0000 0.0000 0.5000
Tl 0.0000 0.5000 0.0000
In 0.1456 0.6479 0.7935
In 0.6479 0.5022 0.8544
In 0.1456 0.3521 0.4978
In 0.2065 0.8544 0.3521
Cd 0.0000 0.0000 0.0000
In 0.3521 0.2065 0.8544
In 0.5022 0.8544 0.6479
In 0.8544 0.6479 0.5022
In 0.4978 0.1456 0.3521
In 0.6479 0.7935 0.1456
In 0.3521 0.4978 0.1456
In 0.8544 0.3521 0.2065
In 0.7935 0.1456 0.6479
Tl 0.5000 0.5000 0.5000
Tl 0.5000 0.0000 0.0000

Summary:
For the density of states at the Fermi level, the calculation gives 10.10 states/eV/f.u. As for the volume: 550.5 Å³ per cell. The calculated total energy comes out at -2.30 eV/atom. Its energy of formation from the pure elements is 0.245 eV per atom.

Here is a relaxed structure of Tl2CdIn from Alexandria. Energies are from GGA-PBE.

Cell lengths 6.4352, 6.4352, 6.4352 Å; angles 145.96, 129.50, 62.31 degrees
Positions (direct):
In 0.7366 0.2366 0.5000
Tl 0.2618 0.7618 0.5000
Cd 0.5081 0.5081 0.0000
Tl 0.9935 0.9935 0.0000

Summary:
For the density of states at the Fermi level, the calculation gives 1.59 states/eV/f.u. As for the volume: 113.9 Å³ per cell. For the energy relative to the lowest polymorph listed for this composition, the calculation gives 21 meV per atom. The calculated total energy comes out at -2.06 eV/atom. Its energy of formation from the pure elements is 0.041 eV per atom.

Here is a relaxed structure of Tl5Cd4In4 from Alexandria. Energies are from GGA-PBE.

Cell lengths 4.8096, 9.1160, 9.1160 Å; angles 86.01, 74.70, 74.70 degrees
Positions (direct):
In 0.7537 0.3121 0.1804
Tl 0.7010 0.9280 0.6700
Tl 0.6290 0.6700 0.0720
In 0.2463 0.6879 0.8196
In 0.9342 0.8196 0.3121
Tl 0.0000 0.0000 0.0000
Tl 0.2990 0.0720 0.3300
Tl 0.3710 0.3300 0.9280
Cd 0.8971 0.5272 0.6786
In 0.0658 0.1804 0.6879
Cd 0.4243 0.6786 0.4728
Cd 0.5757 0.3214 0.5272
Cd 0.1029 0.4728 0.3214

Summary:
For the density of states at the Fermi level, the calculation gives 6.05 states/eV/f.u. As for the volume: 371.9 Å³ per cell. The calculated total energy comes out at -1.98 eV/atom. Its energy of formation from the pure elements is 0.055 eV per atom.

Here is a relaxed structure of TlCdIn2 from Alexandria. Energies are from GGA-PBE.

Cell lengths 10.7208, 10.7208, 10.7208 Å; angles 18.48, 18.48, 18.48 degrees
Positions (direct):
Tl 0.4985 0.4985 0.4985
Cd 0.7478 0.7478 0.7478
In 0.2522 0.2522 0.2522
In 0.0016 0.0016 0.0016

Summary:
For the density of states at the Fermi level, the calculation gives 2.10 states/eV/f.u. As for the volume: 108.1 Å³ per cell. The calculated total energy comes out at -2.15 eV/atom. Its energy of formation from the pure elements is 0.035 eV per atom.